DFT (GGA-PBE) results for Na5B8C2 after structural relaxation.

Structure (POSCAR):
```
Na5B8C2
1.0
-5.635 -3.755 -3.702
7.416 -0.793 2.137
-2.528 -3.556 7.455
B C Na
16 4 10
Cartesian
-0.556 -5.745 4.577
-1.680 -1.909 1.022
1.807 -5.075 5.699
-3.400 -6.349 3.325
-1.759 -6.731 3.699
0.566 -3.880 0.843
-2.864 -3.729 4.757
-0.541 -4.951 -0.043
-1.286 -4.209 5.062
2.245 -4.503 1.116
-3.956 -4.761 3.894
2.554 -1.761 2.528
-0.228 -3.083 5.958
3.153 -3.270 2.012
-2.637 -3.135 0.112
0.015 -2.352 1.385
1.007 -1.336 2.206
1.279 -3.611 6.218
-2.090 -4.512 -0.359
0.930 -6.185 4.871
-5.551 -6.715 4.904
0.515 -6.324 2.161
-4.296 -4.951 1.205
2.279 -4.925 8.420
-1.687 -4.343 2.368
-2.948 -6.116 6.084
0.935 -3.744 3.518
3.537 -3.155 4.710
2.190 -1.978 -0.184
1.779 -4.547 -1.564
```

* DFT total energy: -5.027 eV/atom
* relative energy among the computed polymorphs: 0.507 eV per formula unit
* ΔH_f (0 K): 0.204 eV per atom
* magnetic moment: 0.000 μB per cell